VASP calculation (PBE+U) on Sr2TlFeO4 after structural relaxation.

The structure in POSCAR format:
```
Sr2TlFeO4
1.0
5.682 -0.015 -0.022
-2.434 5.134 0.022
-2.434 -2.046 4.709
Sr Tl Fe O
2 1 1 4
direct
0.500 0.750 0.250
0.000 0.000 0.000
0.000 0.500 0.500
0.500 0.250 0.750
0.458 0.396 0.462
0.067 0.062 0.604
0.933 0.538 0.996
0.542 0.004 0.938
```

Values from the calculation:
uncorrected energy	-5.6112	eV/atom